No. 1
Entry from Alexandria: a relaxed structure of K3Th2PaTe6 (PBE-GGA).

Lattice parameters (Å, degrees): 7.697 7.697 8.900 98.29 98.29 119.98
Last column: magnetic moment on the atom in μB.
Fractional coordinates of all 12 atoms:
Te  0.402  0.073  0.219  -0.01
Pa  0.000  0.000  0.000  1.35
Th  0.666  0.334  0.000  0.18
Te  0.744  0.744  0.220  -0.01
K  0.831  0.169  0.500  0.00
K  0.169  0.831  0.500  0.00
K  0.500  0.500  0.500  0.00
Te  0.598  0.927  0.781  -0.01
Th  0.334  0.666  0.000  0.18
Te  0.256  0.256  0.780  -0.01
Te  0.927  0.598  0.781  -0.01
Te  0.073  0.402  0.219  -0.01

- Density: 5992 kg/m3
- ΔE_f (raw): -1.084 eV per atom
- SG: C2/m



No. 2
Entry from Alexandria: a relaxed structure of K4Th3PaTe8 (PBE-GGA).

Lattice parameters (Å, degrees): 8.889 9.958 8.889 116.52 120.00 90.00
Last column: magnetic moment on the atom in μB.
Fractional coordinates of all 16 atoms:
K  0.500  0.000  0.500  0.00
K  0.000  0.000  0.000  0.00
Th  0.500  0.500  0.000  0.10
Te  0.256  0.281  0.018  -0.01
Te  0.740  0.721  0.481  0.00
Th  0.500  0.500  0.500  0.10
Te  0.762  0.281  0.018  -0.01
Te  0.238  0.719  0.476  -0.01
Te  0.762  0.281  0.524  -0.01
Te  0.260  0.279  0.519  0.00
Te  0.744  0.719  0.982  -0.01
Pa  0.000  0.500  0.000  1.36
Te  0.238  0.719  0.982  -0.01
K  0.500  0.000  0.000  0.00
Th  0.000  0.500  0.500  0.10
K  0.000  0.000  0.500  0.00

- Density: 5985 kg/m3
- ΔE_f (raw): -1.108 eV per atom
- SG: R-3m



No. 3
Entry from Alexandria: a relaxed structure of K2PaTl3Te6 (PBE-GGA).

Lattice parameters (Å, degrees): 8.636 8.636 7.876 100.25 100.25 121.06
Fractional coordinates of all 12 atoms:
Te  0.634  0.919  0.760
K  0.672  0.328  0.000
Tl  0.149  0.851  0.500
Tl  0.851  0.149  0.500
Pa  0.000  0.000  0.000
Te  0.366  0.081  0.240
Te  0.777  0.777  0.226
K  0.328  0.672  0.000
Tl  0.500  0.500  0.500
Te  0.081  0.366  0.240
Te  0.223  0.223  0.774
Te  0.919  0.634  0.760

- Density: 5976 kg/m3
- ΔE_f (raw): -0.603 eV per atom
- SG: C2/m



No. 4
Entry from Alexandria: a relaxed structure of K3Pa2TlTe6 (PBE-GGA).

Lattice parameters (Å, degrees): 4.547 10.031 10.708 104.70 102.26 90.00
Last column: magnetic moment on the atom in μB.
Fractional coordinates of all 12 atoms:
K  0.154  0.842  0.308  0.00
K  0.846  0.158  0.692  0.00
Te  0.327  0.868  0.654  -0.03
Te  0.324  0.439  0.648  -0.03
Te  0.978  0.740  0.955  -0.03
Te  0.022  0.260  0.045  -0.03
Te  0.673  0.132  0.346  -0.03
Pa  0.168  0.339  0.336  1.00
Te  0.676  0.561  0.352  -0.03
K  0.500  0.500  0.000  0.00
Tl  0.500  0.000  0.000  -0.01
Pa  0.832  0.661  0.664  1.00

- Density: 5582 kg/m3
- ΔE_f (raw): -0.913 eV per atom
- SG: C2/m



No. 5
Entry from Alexandria: a relaxed structure of K3Pa3TlTe8 (PBE-GGA).

Lattice parameters (Å, degrees): 9.155 9.156 9.707 118.15 90.00 120.00
Last column: magnetic moment on the atom in μB.
Fractional coordinates of all 15 atoms:
Pa  0.000  0.500  0.500  1.01
Te  0.252  0.960  0.712  -0.03
Te  0.252  0.505  0.712  -0.03
Te  0.262  0.525  0.287  -0.03
Pa  0.500  0.000  0.500  1.01
Te  0.748  0.495  0.288  -0.03
Te  0.292  0.040  0.288  -0.03
K  0.500  0.500  0.000  0.00
Te  0.748  0.040  0.288  -0.03
Tl  0.000  0.000  0.500  -0.01
K  0.000  0.500  0.000  0.00
Te  0.708  0.960  0.712  -0.03
Te  0.738  0.475  0.713  -0.03
K  0.000  0.000  0.000  0.00
Pa  0.500  0.500  0.500  1.01

- Density: 5720 kg/m3
- ΔE_f (raw): -0.873 eV per atom
- SG: R-3m



No. 6
Entry from Alexandria: a relaxed structure of K2TmPa2Te6 (PBE-GGA).

Lattice parameters (Å, degrees): 7.581 7.581 8.925 98.22 98.22 119.97
Last column: magnetic moment on the atom in μB.
Fractional coordinates of all 11 atoms:
Te  0.927  0.600  0.290  -0.03
Te  0.738  0.738  0.709  -0.03
Pa  0.333  0.667  0.500  1.27
K  0.167  0.833  0.000  0.00
Pa  0.667  0.333  0.500  1.27
Te  0.600  0.927  0.290  -0.03
Te  0.262  0.262  0.291  -0.03
Tm  0.000  0.000  0.500  0.08
Te  0.073  0.400  0.710  -0.03
Te  0.400  0.073  0.710  -0.03
K  0.833  0.167  0.000  0.00

- Density: 5751 kg/m3
- ΔE_f (raw): -1.056 eV per atom
- SG: C2/m



No. 7
Entry from Alexandria: a relaxed structure of K2Tm2PaTe6 (PBE-GGA).

Lattice parameters (Å, degrees): 7.629 7.629 8.831 98.28 98.28 120.02
Last column: magnetic moment on the atom in μB.
Fractional coordinates of all 11 atoms:
Te  0.070  0.404  0.706  -0.01
Te  0.731  0.731  0.705  -0.02
Te  0.404  0.070  0.706  -0.01
Te  0.596  0.930  0.294  -0.01
Te  0.269  0.269  0.295  -0.02
K  0.166  0.834  0.000  0.00
Tm  0.668  0.332  0.500  0.01
Pa  0.000  0.000  0.500  1.06
Tm  0.332  0.668  0.500  0.01
K  0.834  0.166  0.000  0.00
Te  0.930  0.596  0.294  -0.01

- Density: 5505 kg/m3
- ΔE_f (raw): -1.222 eV per atom
- SG: C2/m



No. 8
Entry from Alexandria: a relaxed structure of K3Tm2PaTe6 (PBE-GGA).

Lattice parameters (Å, degrees): 7.711 7.711 8.688 98.51 98.51 120.00
Last column: magnetic moment on the atom in μB.
Fractional coordinates of all 12 atoms:
Tm  0.333  0.667  0.000  0.11
Te  0.731  0.731  0.209  -0.01
K  0.500  0.500  0.500  0.00
Tm  0.667  0.333  0.000  0.11
Te  0.269  0.269  0.791  -0.01
K  0.165  0.835  0.500  0.00
Te  0.408  0.070  0.210  -0.01
Pa  0.000  0.000  0.000  1.39
Te  0.070  0.408  0.210  -0.01
Te  0.930  0.592  0.790  -0.01
K  0.835  0.165  0.500  0.00
Te  0.592  0.930  0.790  -0.01

- Density: 5642 kg/m3
- ΔE_f (raw): -1.195 eV per atom
- SG: C2/m



No. 9
Entry from Alexandria: a relaxed structure of KUPaTe4 (PBE-GGA).

Lattice parameters (Å, degrees): 9.145 9.568 9.029 118.15 90.00 118.55
Last column: magnetic moment on the atom in μB.
Fractional coordinates of all 14 atoms:
Te  0.282  0.563  0.299  -0.06
Te  0.298  0.056  0.278  -0.04
U  0.500  0.500  0.500  2.71
K  0.875  0.750  0.125  0.00
Te  0.718  0.437  0.701  -0.06
Te  0.718  0.437  0.235  -0.06
Pa  0.500  0.000  0.000  1.16
Te  0.282  0.563  0.765  -0.06
K  0.125  0.250  0.875  0.00
Te  0.758  0.056  0.278  -0.04
Pa  0.500  0.000  0.500  1.16
U  0.000  0.500  0.500  2.71
Te  0.242  0.944  0.722  -0.04
Te  0.702  0.944  0.722  -0.04

- Density: 5778 kg/m3
- ΔE_f (raw): -0.747 eV per atom
- SG: Imma



No. 10
Entry from Alexandria: a relaxed structure of K4UPa3Te8 (PBE-GGA).

Lattice parameters (Å, degrees): 8.821 9.909 8.821 116.44 120.00 90.00
Last column: magnetic moment on the atom in μB.
Fractional coordinates of all 16 atoms:
Te  0.239  0.716  0.976  -0.04
K  0.500  0.000  0.500  0.00
Te  0.761  0.284  0.521  -0.04
K  0.000  0.000  0.500  0.00
Te  0.739  0.717  0.478  -0.03
Pa  0.500  0.500  0.000  1.51
Te  0.239  0.716  0.479  -0.04
Te  0.263  0.284  0.024  -0.04
K  0.000  0.000  0.000  0.00
Pa  0.500  0.500  0.500  1.51
Te  0.737  0.716  0.976  -0.04
K  0.500  0.000  0.000  0.00
Te  0.761  0.284  0.024  -0.04
U  0.000  0.500  0.000  2.85
Pa  0.000  0.500  0.500  1.51
Te  0.261  0.283  0.522  -0.03

- Density: 6113 kg/m3
- ΔE_f (raw): -0.908 eV per atom
- SG: R-3m



No. 11
Entry from Alexandria: a relaxed structure of K2UPa2Te6 (PBE-GGA).

Lattice parameters (Å, degrees): 7.556 7.556 8.984 98.08 98.08 120.09
Last column: magnetic moment on the atom in μB.
Fractional coordinates of all 11 atoms:
Te  0.407  0.075  0.713  -0.04
Pa  0.668  0.332  0.500  1.28
U  0.000  0.000  0.500  2.73
K  0.835  0.165  0.000  0.00
Te  0.593  0.925  0.287  -0.04
Pa  0.332  0.668  0.500  1.28
Te  0.269  0.269  0.289  -0.04
Te  0.075  0.407  0.713  -0.04
Te  0.925  0.593  0.287  -0.04
Te  0.731  0.731  0.711  -0.04
K  0.165  0.835  0.000  0.00

- Density: 6020 kg/m3
- ΔE_f (raw): -0.885 eV per atom
- SG: C2/m



No. 12
Entry from Alexandria: a relaxed structure of K3U3PaTe8 (PBE-GGA).

Lattice parameters (Å, degrees): 8.823 8.825 9.915 116.45 90.00 120.00
Last column: magnetic moment on the atom in μB.
Fractional coordinates of all 15 atoms:
K  0.000  0.500  0.000  0.00
Te  0.764  0.026  0.290  0.06
K  0.500  0.500  0.000  0.00
U  0.000  0.500  0.500  -2.71
Te  0.738  0.974  0.710  0.06
Te  0.262  0.525  0.287  0.06
Te  0.236  0.473  0.710  0.06
Te  0.738  0.475  0.713  0.06
Te  0.764  0.527  0.290  0.06
K  0.000  0.000  0.000  0.00
Pa  0.000  0.000  0.500  -1.16
Te  0.236  0.974  0.710  0.06
U  0.500  0.000  0.500  -2.71
Te  0.262  0.026  0.290  0.06
U  0.500  0.500  0.500  -2.71

- Density: 6032 kg/m3
- ΔE_f (raw): -0.852 eV per atom
- SG: R-3m